(1)
Ca2LaTb after structural relaxation. Source: Alexandria via LeMat-Bulk, functional GGA-PBE.

Properties
ΔE to the lowest computed polymorph	0.00	eV/f.u.
electronic total energy	-3.2894	eV per atom
energy of formation from the pure elements	101	meV per atom
density	4.21	Mg/m³

a = 3.7175 Å, b = 3.7175 Å, c = 37.4056 Å
α = 90.00°, β = 90.00°, γ = 120.00°
Space group R3m (No. 160, hexagonal axes)
One atom of each set of equivalent atoms:
Ca 0.0000 0.0000 0.0000 (multiplicity 3)
Ca 0.0000 0.0000 0.1621 (multiplicity 3)
La 0.0000 0.0000 0.5811 (multiplicity 3)
Tb 0.0000 0.0000 0.4145 (multiplicity 3)

---

(2)
CaLa5Tb3 after structural relaxation. Source: Alexandria via LeMat-Bulk, functional GGA-PBE.

Properties
electronic total energy	-4.3604	eV per atom
energy of formation from the pure elements	143	meV per atom
density	6.19	Mg/m³

a = 19.538 Å, b = 9.598 Å, c = 7.485 Å
α = 90.00°, β = 112.27°, γ = 90.00°
Space group C2/c (No. 15)
One atom of each set of equivalent atoms:
Ca 0.000 0.163 0.250 (multiplicity 4)
La 0.000 0.207 0.750 (multiplicity 4)
La 0.163 0.172 0.675 (multiplicity 8)
La 0.181 0.491 0.431 (multiplicity 8)
Tb 0.000 0.500 0.000 (multiplicity 4)
Tb 0.164 0.180 0.156 (multiplicity 8)

---

(3)
CaLa14Tb after structural relaxation. Source: Alexandria via LeMat-Bulk, functional GGA-PBE.

Properties
electronic total energy	-4.7096	eV per atom
energy of formation from the pure elements	16	meV per atom
density	6.07	Mg/m³

a = 10.532 Å, b = 10.550 Å, c = 10.552 Å
α = 90.00°, β = 90.00°, γ = 90.00°
Space group Amm2 (No. 38)
One atom of each set of equivalent atoms:
Ca 0.000 0.000 0.000 (multiplicity 2)
La 0.000 0.249 0.750 (multiplicity 4)
La 0.252 0.000 0.255 (multiplicity 4)
La 0.253 0.000 0.744 (multiplicity 4)
La 0.253 0.244 0.500 (multiplicity 8)
La 0.500 0.000 0.000 (multiplicity 2)
La 0.500 0.000 0.500 (multiplicity 2)
La 0.500 0.249 0.250 (multiplicity 4)
Tb 0.000 0.000 0.500 (multiplicity 2)

---

(4)
CaLa4Tb5 after structural relaxation. Source: Alexandria via LeMat-Bulk, functional GGA-PBE.

Properties
electronic total energy	-4.2480	eV per atom
energy of formation from the pure elements	238	meV per atom
density	6.21	Mg/m³

a = 17.980 Å, b = 3.625 Å, c = 11.784 Å
α = 90.00°, β = 104.34°, γ = 90.00°
Space group C2/m (No. 12)
One atom of each set of equivalent atoms:
Ca 0.000 0.000 0.000 (multiplicity 2)
La 0.020 0.500 0.748 (multiplicity 4)
La 0.191 0.000 0.730 (multiplicity 4)
Tb 0.000 0.000 0.500 (multiplicity 2)
Tb 0.164 0.500 0.440 (multiplicity 4)
Tb 0.169 0.500 0.993 (multiplicity 4)

---

(5)
CaLa6Tb after structural relaxation. Source: Alexandria via LeMat-Bulk, functional GGA-PBE.

Properties
electronic total energy	-4.4950	eV per atom
energy of formation from the pure elements	30	meV per atom
density	5.86	Mg/m³

a = 5.268 Å, b = 5.268 Å, c = 10.536 Å
α = 90.00°, β = 90.00°, γ = 90.00°
Space group P4/mmm (No. 123)
One atom of each set of equivalent atoms:
Ca 0.000 0.000 0.000 (multiplicity 1)
La 0.000 0.500 0.257 (multiplicity 4)
La 0.500 0.500 0.000 (multiplicity 1)
La 0.500 0.500 0.500 (multiplicity 1)
Tb 0.000 0.000 0.500 (multiplicity 1)

---

(6)
CaLaTb after structural relaxation. Source: Alexandria via LeMat-Bulk, functional GGA-PBE.

Properties
ΔE to the lowest computed polymorph	0.06	eV/f.u.
electronic total energy	-3.7853	eV per atom
energy of formation from the pure elements	68	meV per atom
density	5.02	Mg/m³

a = 33.295 Å, b = 3.639 Å, c = 3.694 Å
α = 90.00°, β = 90.03°, γ = 90.00°
Space group C2/m (No. 12)
One atom of each set of equivalent atoms:
Ca 0.050 0.000 0.249 (multiplicity 4)
La 0.136 0.500 0.749 (multiplicity 4)
Tb 0.213 0.000 0.250 (multiplicity 4)

---

(7)
CaLa2Tb after structural relaxation. Source: Alexandria via LeMat-Bulk, functional GGA-PBE.

Properties
ΔE to the lowest computed polymorph	0.03	eV/f.u.
electronic total energy	-4.0863	eV per atom
energy of formation from the pure elements	35	meV per atom
density	5.37	Mg/m³

a = 3.7074 Å, b = 3.7074 Å, c = 37.1434 Å
α = 90.00°, β = 90.00°, γ = 120.00°
Space group R3m (No. 160, hexagonal axes)
One atom of each set of equivalent atoms:
Ca 0.0000 0.0000 0.0000 (multiplicity 3)
La 0.0000 0.0000 0.2447 (multiplicity 3)
La 0.0000 0.0000 0.4215 (multiplicity 3)
Tb 0.0000 0.0000 0.8331 (multiplicity 3)

---

(8)
CaLa2Tb after structural relaxation. Source: Alexandria via LeMat-Bulk, functional GGA-PBE.

Properties
ΔE to the lowest computed polymorph	0.07	eV/f.u.
electronic total energy	-4.0749	eV per atom
energy of formation from the pure elements	47	meV per atom
density	5.37	Mg/m³

a = 3.697 Å, b = 3.697 Å, c = 10.796 Å
α = 90.00°, β = 90.00°, γ = 90.00°
Space group P4/mmm (No. 123)
One atom of each set of equivalent atoms:
Ca 0.000 0.000 0.000 (multiplicity 1)
La 0.500 0.500 0.267 (multiplicity 2)
Tb 0.000 0.000 0.500 (multiplicity 1)

---

(9)
Ca2LaTb after structural relaxation. Source: Alexandria via LeMat-Bulk, functional GGA-PBE.

Properties
ΔE to the lowest computed polymorph	0.16	eV/f.u.
electronic total energy	-3.2499	eV per atom
energy of formation from the pure elements	140	meV per atom
density	4.19	Mg/m³

a = 4.202 Å, b = 4.202 Å, c = 8.490 Å
α = 90.00°, β = 90.00°, γ = 90.00°
Space group P4/mmm (No. 123)
One atom of each set of equivalent atoms:
Ca 0.000 0.000 0.239 (multiplicity 2)
La 0.500 0.500 0.500 (multiplicity 1)
Tb 0.500 0.500 0.000 (multiplicity 1)

---

(10)
CaLa4Tb after structural relaxation. Source: Alexandria via LeMat-Bulk, functional GGA-PBE.

Properties
electronic total energy	-4.3611	eV per atom
energy of formation from the pure elements	29	meV per atom
density	5.65	Mg/m³

a = 3.756 Å, b = 3.756 Å, c = 15.722 Å
α = 90.00°, β = 90.00°, γ = 90.00°
Space group P4/mmm (No. 123)
One atom of each set of equivalent atoms:
Ca 0.000 0.000 0.000 (multiplicity 1)
La 0.000 0.000 0.341 (multiplicity 2)
La 0.500 0.500 0.183 (multiplicity 2)
Tb 0.500 0.500 0.500 (multiplicity 1)

---

(11)
CaLa2Tb after structural relaxation. Source: Alexandria via LeMat-Bulk, functional GGA-PBE.

Properties
ΔE to the lowest computed polymorph	0.00	eV/f.u.
electronic total energy	-4.0928	eV per atom
energy of formation from the pure elements	29	meV per atom
density	5.39	Mg/m³

a = 3.7062 Å, b = 3.7062 Å, c = 37.0140 Å
α = 90.00°, β = 90.00°, γ = 120.00°
Space group R-3m (No. 166, hexagonal axes)
One atom of each set of equivalent atoms:
Ca 0.0000 0.0000 0.0000 (multiplicity 3)
La 0.0000 0.0000 0.2453 (multiplicity 6)
Tb 0.0000 0.0000 0.5000 (multiplicity 3)

---

(12)
CaLa2Tb after structural relaxation. Source: Alexandria via LeMat-Bulk, functional GGA-PBE.

Properties
ΔE to the lowest computed polymorph	0.36	eV/f.u.
electronic total energy	-4.0028	eV per atom
energy of formation from the pure elements	119	meV per atom
density	5.29	Mg/m³

a = 3.6409 Å, b = 3.6409 Å, c = 39.1417 Å
α = 90.00°, β = 90.00°, γ = 120.00°
Space group R-3m (No. 166, hexagonal axes)
One atom of each set of equivalent atoms:
Ca 0.0000 0.0000 0.0000 (multiplicity 3)
La 0.0000 0.0000 0.0915 (multiplicity 6)
Tb 0.0000 0.0000 0.5000 (multiplicity 3)

---

(13)
Ca2LaTb after structural relaxation. Source: Alexandria via LeMat-Bulk, functional GGA-PBE.

Properties
ΔE to the lowest computed polymorph	0.01	eV/f.u.
electronic total energy	-3.2859	eV per atom
energy of formation from the pure elements	104	meV per atom
density	4.20	Mg/m³

a = 3.731 Å, b = 6.424 Å, c = 6.599 Å
α = 99.48°, β = 106.33°, γ = 90.07°
Space group P-1 (No. 2)
One atom of each set of equivalent atoms:
Ca 0.248 0.246 0.497 (multiplicity 2)
La 0.000 0.500 0.000 (multiplicity 1)
Tb 0.500 0.000 0.000 (multiplicity 1)

---

(14)
Ca2La4Tb after structural relaxation. Source: Alexandria via LeMat-Bulk, functional GGA-PBE.

Properties
electronic total energy	-3.9484	eV per atom
energy of formation from the pure elements	101	meV per atom
density	5.01	Mg/m³

a = 3.633 Å, b = 5.994 Å, c = 24.175 Å
α = 90.00°, β = 90.00°, γ = 90.00°
Space group Immm (No. 71)
One atom of each set of equivalent atoms:
Ca 0.000 0.000 0.221 (multiplicity 4)
La 0.000 0.500 0.130 (multiplicity 4)
La 0.000 0.500 0.422 (multiplicity 4)
Tb 0.000 0.000 0.500 (multiplicity 2)

---

(15)
CaLaTb after structural relaxation. Source: Alexandria via LeMat-Bulk, functional GGA-PBE.

Properties
ΔE to the lowest computed polymorph	0.00	eV/f.u.
electronic total energy	-3.8049	eV per atom
energy of formation from the pure elements	48	meV per atom
density	5.11	Mg/m³

a = 3.7057 Å, b = 3.7057 Å, c = 9.2341 Å
α = 90.00°, β = 90.00°, γ = 120.00°
Space group P3m1 (No. 156)
One atom of each set of equivalent atoms:
Ca 0.0000 0.0000 0.0000 (multiplicity 1)
La 0.3333 0.6667 0.6440 (multiplicity 1)
Tb 0.6667 0.3333 0.3365 (multiplicity 1)

---

(16)
CaLaTb after structural relaxation. Source: Alexandria via LeMat-Bulk, functional GGA-PBE.

Properties
ΔE to the lowest computed polymorph	0.40	eV/f.u.
electronic total energy	-3.6722	eV per atom
energy of formation from the pure elements	181	meV per atom
density	5.11	Mg/m³

a = 5.9609 Å, b = 5.9609 Å, c = 3.5653 Å
α = 90.00°, β = 90.00°, γ = 120.00°
Space group P-6m2 (No. 187)
One atom of each set of equivalent atoms:
Ca 0.0000 0.0000 0.0000 (multiplicity 1)
La 0.3333 0.6667 0.5000 (multiplicity 1)
Tb 0.6667 0.3333 0.5000 (multiplicity 1)

---

(17)
CaLaTb after structural relaxation. Source: Alexandria via LeMat-Bulk, functional GGA-PBE.

Properties
ΔE to the lowest computed polymorph	0.01	eV/f.u.
electronic total energy	-3.8028	eV per atom
energy of formation from the pure elements	50	meV per atom
density	5.08	Mg/m³

a = 3.734 Å, b = 3.734 Å, c = 15.829 Å
α = 90.00°, β = 90.00°, γ = 90.00°
Space group I4mm (No. 107)
One atom of each set of equivalent atoms:
Ca 0.000 0.000 0.000 (multiplicity 2)
La 0.000 0.000 0.681 (multiplicity 2)
Tb 0.000 0.000 0.330 (multiplicity 2)

---

(18)
Ca2La3TbTe6 after structural relaxation. Source: Alexandria via LeMat-Bulk, functional GGA-PBE.

Properties
electronic total energy	-5.0631	eV per atom
uncorrected formation energy	-1.54	eV per atom
density	6.03	Mg/m³

a = 7.785 Å, b = 13.490 Å, c = 7.897 Å
α = 90.00°, β = 109.22°, γ = 90.00°
Space group C2/m (No. 12)
One atom of each set of equivalent atoms:
Ca 0.000 0.166 0.000 (multiplicity 4)
La 0.000 0.000 0.500 (multiplicity 2)
La 0.000 0.330 0.500 (multiplicity 4)
Tb 0.000 0.500 0.000 (multiplicity 2)
Te 0.244 0.335 0.236 (multiplicity 8)
Te 0.250 0.000 0.241 (multiplicity 4)

---

(19)
Ca3LaTb2Te6 after structural relaxation. Source: Alexandria via LeMat-Bulk, functional GGA-PBE.

Properties
electronic total energy	-4.7565	eV per atom
uncorrected formation energy	-1.50	eV per atom
density	5.88	Mg/m³

a = 7.695 Å, b = 13.317 Å, c = 7.835 Å
α = 90.00°, β = 109.16°, γ = 90.00°
Space group C2/m (No. 12)
One atom of each set of equivalent atoms:
Ca 0.000 0.000 0.000 (multiplicity 2)
Ca 0.000 0.337 0.000 (multiplicity 4)
La 0.000 0.500 0.500 (multiplicity 2)
Tb 0.000 0.167 0.500 (multiplicity 4)
Te 0.240 0.000 0.749 (multiplicity 4)
Te 0.245 0.171 0.249 (multiplicity 8)

---

(20)
CaLaTb2Tl4 after structural relaxation. Source: Alexandria via LeMat-Bulk, functional GGA-PBE.

Properties
electronic total energy	-3.5897	eV per atom
energy of formation from the pure elements	-383	meV per atom
density	9.36	Mg/m³

a = 5.4587 Å, b = 5.4587 Å, c = 27.0960 Å
α = 90.00°, β = 90.00°, γ = 120.00°
Space group R-3m (No. 166, hexagonal axes)
One atom of each set of equivalent atoms:
Ca 0.0000 0.0000 0.0000 (multiplicity 3)
La 0.0000 0.0000 0.5000 (multiplicity 3)
Tb 0.0000 0.0000 0.2531 (multiplicity 6)
Tl 0.0000 0.0000 0.1243 (multiplicity 6)
Tl 0.0000 0.0000 0.3741 (multiplicity 6)

---

(21)
CaLaTbTl after structural relaxation. Source: Alexandria via LeMat-Bulk, functional GGA-PBE.

Properties
electronic total energy	-3.5803	eV per atom
energy of formation from the pure elements	-99	meV per atom
density	7.10	Mg/m³

a = 7.974 Å, b = 7.974 Å, c = 7.974 Å
α = 90.00°, β = 90.00°, γ = 90.00°
Space group F-43m (No. 216)
One atom of each set of equivalent atoms:
Ca 0.000 0.000 0.000 (multiplicity 4)
La 0.250 0.250 0.250 (multiplicity 4)
Tb 0.250 0.250 0.750 (multiplicity 4)
Tl 0.000 0.000 0.500 (multiplicity 4)

---

(22)
CaLaTbTm after structural relaxation. Source: Alexandria via LeMat-Bulk, functional GGA-PBE.

Properties
electronic total energy	-3.8819	eV per atom
energy of formation from the pure elements	126	meV per atom
density	6.04	Mg/m³

a = 8.228 Å, b = 8.228 Å, c = 8.228 Å
α = 90.00°, β = 90.00°, γ = 90.00°
Space group F-43m (No. 216)
One atom of each set of equivalent atoms:
Ca 0.000 0.000 0.000 (multiplicity 4)
La 0.250 0.250 0.250 (multiplicity 4)
Tb 0.250 0.250 0.750 (multiplicity 4)
Tm 0.000 0.000 0.500 (multiplicity 4)

---

(23)
CaLa3Tb2Y6 after structural relaxation. Source: Alexandria via LeMat-Bulk, functional GGA-PBE.

Properties
electronic total energy	-5.3511	eV per atom
energy of formation from the pure elements	51	meV per atom
density	5.33	Mg/m³

a = 6.312 Å, b = 10.938 Å, c = 11.989 Å
α = 90.00°, β = 100.11°, γ = 90.00°
Space group C2/m (No. 12)
One atom of each set of equivalent atoms:
Ca 0.000 0.000 0.000 (multiplicity 2)
La 0.000 0.166 0.500 (multiplicity 4)
La 0.000 0.500 0.500 (multiplicity 2)
Tb 0.000 0.333 0.000 (multiplicity 4)
Y 0.244 0.500 0.248 (multiplicity 4)
Y 0.248 0.331 0.752 (multiplicity 8)

---

(24)
CaLaTbZn after structural relaxation. Source: Alexandria via LeMat-Bulk, functional GGA-PBE.

Properties
electronic total energy	-3.3351	eV per atom
energy of formation from the pure elements	-127	meV per atom
density	5.46	Mg/m³

a = 3.616 Å, b = 3.616 Å, c = 9.372 Å
α = 90.00°, β = 90.00°, γ = 90.00°
Space group P4mm (No. 99)
One atom of each set of equivalent atoms:
Ca 0.000 0.000 0.000 (multiplicity 1)
La 0.500 0.500 0.669 (multiplicity 1)
Tb 0.000 0.000 0.389 (multiplicity 1)
Zn 0.500 0.500 0.207 (multiplicity 1)

---

(25)
Ca2LaTc after structural relaxation. Source: Alexandria via LeMat-Bulk, functional GGA-PBE.

Properties
ΔE to the lowest computed polymorph	1.20	eV/f.u.
electronic total energy	-4.3015	eV per atom
energy of formation from the pure elements	523	meV per atom
density	4.72	Mg/m³

a = 3.644 Å, b = 5.262 Å, c = 6.095 Å
α = 90.00°, β = 107.25°, γ = 90.00°
Space group P2/m (No. 10)
One atom of each set of equivalent atoms:
Ca 0.164 0.000 0.283 (multiplicity 2)
La 0.500 0.500 0.000 (multiplicity 1)
Tc 0.000 0.500 0.500 (multiplicity 1)

---

(26)
Ca2LaTc after structural relaxation. Source: Alexandria via LeMat-Bulk, functional GGA-PBE.

Properties
ΔE to the lowest computed polymorph	0.03	eV/f.u.
electronic total energy	-4.5936	eV per atom
energy of formation from the pure elements	231	meV per atom
density	4.25	Mg/m³

a = 4.681 Å, b = 5.473 Å, c = 9.664 Å
α = 90.00°, β = 90.00°, γ = 90.00°
Space group Cmm2 (No. 35)
One atom of each set of equivalent atoms:
Ca 0.000 0.000 0.000 (multiplicity 2)
Ca 0.000 0.500 0.321 (multiplicity 2)
La 0.000 0.000 0.648 (multiplicity 2)
Tc 0.000 0.500 0.803 (multiplicity 2)